Arrangement w

Compound: Ta2HPb
Source: Alexandria via LeMat-Bulk
Functional: GGA-PBE
Structure: relaxed

a b c (Å): 6.525 6.525 6.525
angles (deg): 90.00 90.00 90.00
Space group Fm-3m (No. 225)
Symmetry-distinct sites (fractional):
Ta 0.250 0.250 0.250 [8 per cell]
H 0.000 0.000 0.000 [4 per cell]
Pb 0.000 0.000 0.500 [4 per cell]

Results
Crystal system: cubic

---

Arrangement x

Compound: Ta2HPb
Source: Alexandria via LeMat-Bulk
Functional: GGA-PBE
Structure: relaxed

a b c (Å): 5.600 5.600 9.058
angles (deg): 90.00 90.00 90.00
Space group I4_1/amd (No. 141, origin choice 2)
Symmetry-distinct sites (fractional):
Ta 0.000 0.000 0.000 [8 per cell]
H 0.000 0.250 0.875 [4 per cell]
Pb 0.000 0.250 0.375 [4 per cell]

Results
Crystal system: tetragonal

---

Most stable to least stable, the ends of the list are arrangement x and arrangement w.

---

Arrangement w

Compound: TaH3Pb
Source: Alexandria via LeMat-Bulk
Functional: GGA-PBE
Structure: relaxed

a b c (Å): 3.815 3.815 3.815
angles (deg): 90.00 90.00 90.00
Space group Pm-3m (No. 221)
Symmetry-distinct sites (fractional):
Ta 0.000 0.000 0.000 [1 per cell]
H 0.000 0.000 0.500 [3 per cell]
Pb 0.500 0.500 0.500 [1 per cell]

Results
Crystal system: cubic

---

Arrangement x

Compound: TaH3Pb
Source: Alexandria via LeMat-Bulk
Functional: GGA-PBE
Structure: relaxed

a b c (Å): 3.992 3.992 3.992
angles (deg): 90.00 90.00 90.00
Space group Pm-3m (No. 221)
Symmetry-distinct sites (fractional):
Ta 0.000 0.000 0.000 [1 per cell]
H 0.000 0.500 0.500 [3 per cell]
Pb 0.500 0.500 0.500 [1 per cell]

Results
Crystal system: cubic

---

Most stable to least stable, the ends of the list are arrangement w and arrangement x.

---

Arrangement w

Compound: TcHPb2
Source: Alexandria via LeMat-Bulk
Functional: GGA-PBE
Structure: relaxed

a b c (Å): 6.809 6.809 6.809
angles (deg): 90.00 90.00 90.00
Space group Fm-3m (No. 225)
Symmetry-distinct sites (fractional):
Tc 0.000 0.000 0.000 [4 per cell]
H 0.000 0.000 0.500 [4 per cell]
Pb 0.250 0.250 0.250 [8 per cell]

Results
Crystal system: cubic

---

Arrangement x

Compound: TcHPb2
Source: Alexandria via LeMat-Bulk
Functional: GGA-PBE
Structure: relaxed

a b c (Å): 6.650 6.650 6.814
angles (deg): 90.00 90.00 90.00
Space group I-42d (No. 122)
Symmetry-distinct sites (fractional):
Tc 0.000 0.000 0.000 [4 per cell]
H 0.000 0.000 0.500 [4 per cell]
Pb 0.180 0.250 0.625 [8 per cell]

Results
Crystal system: tetragonal

---

Most stable to least stable, the ends of the list are arrangement x and arrangement w.

---

Arrangement w

Compound: Tc2HPb2
Source: Alexandria via LeMat-Bulk
Functional: GGA-PBE
Structure: relaxed

a b c (Å): 6.154 6.154 4.496
angles (deg): 90.00 90.00 90.00
Space group P4/mbm (No. 127)
Symmetry-distinct sites (fractional):
Tc 0.158 0.342 0.000 [4 per cell]
H 0.000 0.000 0.000 [2 per cell]
Pb 0.170 0.670 0.500 [4 per cell]

Results
Crystal system: tetragonal

---

Arrangement x

Compound: Tc2HPb2
Source: Alexandria via LeMat-Bulk
Functional: GGA-PBE
Structure: relaxed

a b c (Å): 5.577 5.577 6.272
angles (deg): 90.00 90.00 90.00
Space group I4/mmm (No. 139)
Symmetry-distinct sites (fractional):
Tc 0.000 0.000 0.175 [4 per cell]
H 0.000 0.000 0.500 [2 per cell]
Pb 0.000 0.500 0.250 [4 per cell]

Results
Crystal system: tetragonal

---

Most stable to least stable, the ends of the list are arrangement w and arrangement x.

---

Arrangement w

Compound: TcHPb3
Source: Alexandria via LeMat-Bulk
Functional: GGA-PBE
Structure: relaxed

a b c (Å): 4.798 4.798 4.798
angles (deg): 90.00 90.00 90.00
Space group Pm-3m (No. 221)
Symmetry-distinct sites (fractional):
Tc 0.000 0.000 0.000 [1 per cell]
H 0.500 0.500 0.500 [1 per cell]
Pb 0.000 0.500 0.500 [3 per cell]

Results
Crystal system: cubic

---

Arrangement x

Compound: TcHPb3
Source: Alexandria via LeMat-Bulk
Functional: GGA-PBE
Structure: relaxed

a b c (Å): 5.277 5.277 5.277
angles (deg): 90.00 90.00 90.00
Space group Pm-3m (No. 221)
Symmetry-distinct sites (fractional):
Tc 0.000 0.000 0.000 [1 per cell]
H 0.500 0.500 0.500 [1 per cell]
Pb 0.000 0.000 0.500 [3 per cell]

Results
Crystal system: cubic

---

Most stable to least stable, the ends of the list are arrangement x and arrangement w.

---

Arrangement w

Compound: Tc2HPb
Source: Alexandria via LeMat-Bulk
Functional: GGA-PBE
Structure: relaxed

a b c (Å): 6.254 6.254 6.254
angles (deg): 90.00 90.00 90.00
Space group Fm-3m (No. 225)
Symmetry-distinct sites (fractional):
Tc 0.250 0.250 0.250 [8 per cell]
H 0.000 0.000 0.000 [4 per cell]
Pb 0.000 0.000 0.500 [4 per cell]

Results
Crystal system: cubic

---

Arrangement x

Compound: Tc2HPb
Source: Alexandria via LeMat-Bulk
Functional: GGA-PBE
Structure: relaxed

a b c (Å): 4.971 4.971 10.118
angles (deg): 90.00 90.00 90.00
Space group I-42d (No. 122)
Symmetry-distinct sites (fractional):
Tc 0.019 0.250 0.125 [8 per cell]
H 0.000 0.000 0.000 [4 per cell]
Pb 0.000 0.000 0.500 [4 per cell]

Results
Crystal system: tetragonal

---

Most stable to least stable, the ends of the list are arrangement x and arrangement w.

---

Arrangement w

Compound: Tc3HPb
Source: Alexandria via LeMat-Bulk
Functional: GGA-PBE
Structure: relaxed

a b c (Å): 5.183 5.183 5.183
angles (deg): 90.00 90.00 90.00
Space group Pm-3m (No. 221)
Symmetry-distinct sites (fractional):
Tc 0.000 0.000 0.500 [3 per cell]
H 0.500 0.500 0.500 [1 per cell]
Pb 0.000 0.000 0.000 [1 per cell]

Results
Crystal system: cubic

---

Arrangement x

Compound: Tc3HPb
Source: Alexandria via LeMat-Bulk
Functional: GGA-PBE
Structure: relaxed

a b c (Å): 4.092 4.092 4.092
angles (deg): 90.00 90.00 90.00
Space group Pm-3m (No. 221)
Symmetry-distinct sites (fractional):
Tc 0.000 0.000 0.500 [3 per cell]
H 0.000 0.000 0.000 [1 per cell]
Pb 0.500 0.500 0.500 [1 per cell]

Results
Crystal system: cubic

---

Most stable to least stable, the ends of the list are arrangement x and arrangement w.

---

Arrangement w

Compound: TcH2Pb
Source: Alexandria via LeMat-Bulk
Functional: GGA-PBE
Structure: relaxed

a b c (Å): 5.947 5.947 5.547
angles (deg): 90.00 90.00 90.00
Space group I-42d (No. 122)
Symmetry-distinct sites (fractional):
Tc 0.000 0.000 0.000 [4 per cell]
H 0.129 0.250 0.125 [8 per cell]
Pb 0.000 0.000 0.500 [4 per cell]

Results
Crystal system: tetragonal

---

Arrangement x

Compound: TcH2Pb
Source: Alexandria via LeMat-Bulk
Functional: GGA-PBE
Structure: relaxed

a b c (Å): 5.728 5.728 5.728
angles (deg): 90.00 90.00 90.00
Space group Fm-3m (No. 225)
Symmetry-distinct sites (fractional):
Tc 0.000 0.000 0.000 [4 per cell]
H 0.250 0.250 0.250 [8 per cell]
Pb 0.000 0.000 0.500 [4 per cell]

Results
Crystal system: cubic

---

Most stable to least stable, the ends of the list are arrangement w and arrangement x.